Entry 1:
Compound: Li2Lu3Ge3
Source: Alexandria
Functional: meta-GGA SCAN
Structure: PBEsol geometry

The formation energy comes out at -693.4 meV/atom. Its total magnetic moment is 1.767 μB/cell. The electronic total energy is -29.20 eV/atom. Its density of states at the Fermi level is 2.0 states/eV/f.u.

a b c (Å): 4.091 5.818 13.729
angles (deg): 90.00 90.00 110.58
Fractional positions:
Ge1 0.835 0.670 0.750
Ge2 0.100 0.200 0.954
Ge3 0.900 0.800 0.454
Ge4 0.100 0.200 0.546
Ge5 0.165 0.330 0.250
Ge6 0.900 0.800 0.046
Lu1 0.138 0.277 0.750
Lu2 0.862 0.723 0.250
Lu3 0.429 0.857 0.618
Lu4 0.571 0.143 0.382
Lu5 0.571 0.143 0.118
Lu6 0.429 0.857 0.882
Li1 0.279 0.558 0.080
Li2 0.721 0.442 0.920
Li3 0.279 0.558 0.420
Li4 0.721 0.442 0.580

Entry 2:
Compound: Ni3WSe
Source: Alexandria
Functional: meta-GGA SCAN
Structure: PBEsol geometry

Its total magnetic moment is 0.007 μB/cell. The electronic total energy is -26.51 eV/atom. The calculation puts the formation energy from raw total energies at 1.152 eV/atom. Its density of states at the Fermi level is 5.4 states/eV/f.u.

a b c (Å): 4.185 4.185 4.185
angles (deg): 90.00 90.00 90.00
Fractional positions:
Ni1 0.000 0.500 0.000
Ni2 0.000 0.000 0.500
Ni3 0.500 0.000 0.000
Se1 0.000 0.000 0.000
W1 0.500 0.500 0.500